Computed, not measured: MnCoSeO5 after structural relaxation at the GGA+U level of DFT.

a = 5.9408 Å, b = 5.9408 Å, c = 6.9192 Å
α = 102.83°, β = 102.83°, γ = 112.95°
Closest atoms and distances in Å follow each position.
Element x y z (fractional)
Mn (0.0000, 0.5000, 0.0000)  4 O 1.92-2.08
Mn (0.5000, 0.0000, 0.5000)  4 O 1.92-2.08
Co (0.0034, 0.9966, 0.2500)  3 O 1.92-1.96
Co (0.9966, 0.0034, 0.7500)  3 O 1.92-1.96
Se (0.4645, 0.5355, 0.7500)  2 O 1.70
Se (0.5355, 0.4645, 0.2500)  2 O 1.70
O (0.1624, 0.2344, 0.1075)  1 Se 1.96, 1 Co 1.96
O (0.1969, 0.8031, 0.2500)  1 Co 1.92, 2 Mn 1.92
O (0.2344, 0.1624, 0.6075)  1 Se 1.96, 1 Co 1.96
O (0.3458, 0.6342, 0.9368)  1 Se 1.70
O (0.3658, 0.6542, 0.5632)  1 Se 1.70
O (0.6342, 0.3458, 0.4368)  1 Se 1.70
O (0.6542, 0.3658, 0.0632)  1 Se 1.70
O (0.7656, 0.8376, 0.3925)  1 Se 1.96, 1 Co 1.96
O (0.8031, 0.1969, 0.7500)  1 Co 1.92, 2 Mn 1.92
O (0.8376, 0.7656, 0.8925)  1 Se 1.96, 1 Co 1.96

Calculated volume ... 103 Å³/f.u.
DFT total energy ... -5.982 eV/atom
Crystal system ... monoclinic